The following is a GGA-PBEsol calculation of CaAl8 after structural relaxation, from the Alexandria database.

Cell: 6.597 6.597 6.597 Å, 95.58 95.58 143.65°
Positions (direct):
Ca 0.000 0.000 0.000
Al 0.000 0.344 0.344
Al 0.000 0.656 0.656
Al 0.322 0.322 0.644
Al 0.322 0.678 0.000
Al 0.344 0.000 0.344
Al 0.656 0.000 0.656
Al 0.678 0.322 0.000
Al 0.678 0.678 0.356

Values from the calculation:
The size of the total moment is 0.000 μB per atom. The calculation puts the calculated formation energy at -0.0208 eV/atom. As for the crystal system: tetragonal.


The following is a GGA-PBEsol calculation of Ca3Al after structural relaxation, from the Alexandria database.

Cell: 7.153 7.153 5.505 Å, 90.00 90.00 120.00°
Positions (direct):
Ca 0.176 0.352 0.250
Ca 0.176 0.824 0.250
Ca 0.352 0.176 0.750
Ca 0.648 0.824 0.250
Ca 0.824 0.176 0.750
Ca 0.824 0.648 0.750
Al 0.333 0.667 0.750
Al 0.667 0.333 0.250

Values from the calculation:
The size of the total moment is 0.000 μB per atom. The calculation puts the calculated formation energy at -0.0810 eV/atom. As for the crystal system: hexagonal.


The following is a GGA-PBEsol calculation of CaAl after structural relaxation, from the Alexandria database.

Cell: 7.125 7.125 7.125 Å, 145.47 65.03 126.75°
Positions (direct):
Ca 0.000 0.000 0.000
Ca 0.546 0.247 0.299
Ca 0.948 0.247 0.701
Al 0.177 0.785 0.391
Al 0.394 0.785 0.609
Al 0.494 0.494 0.000

Values from the calculation:
The size of the total moment is 0.000 μB per atom. The calculation puts the calculated formation energy at -0.1513 eV/atom. As for the crystal system: orthorhombic.


The following is a GGA-PBEsol calculation of CaAl3 after structural relaxation, from the Alexandria database.

Cell: 3.520 4.430 5.497 Å, 90.00 90.00 90.00°
Positions (direct):
Ca 0.000 0.000 0.000
Al 0.000 0.500 0.600
Al 0.500 0.000 0.505
Al 0.500 0.500 0.210

Values from the calculation:
The size of the total moment is 0.000 μB per atom. The calculation puts the calculated formation energy at -0.0079 eV/atom. As for the crystal system: orthorhombic.


The following is a GGA-PBEsol calculation of Ca6Al7 after structural relaxation, from the Alexandria database.

Cell: 11.268 11.268 11.268 Å, 29.63 29.63 29.63°
Positions (direct):
Ca 0.053 0.053 0.053
Ca 0.151 0.151 0.151
Ca 0.337 0.337 0.337
Ca 0.663 0.663 0.663
Ca 0.849 0.849 0.849
Ca 0.947 0.947 0.947
Al 0.094 0.596 0.596
Al 0.404 0.404 0.906
Al 0.404 0.906 0.404
Al 0.500 0.500 0.500
Al 0.596 0.094 0.596
Al 0.596 0.596 0.094
Al 0.906 0.404 0.404

Values from the calculation:
The size of the total moment is 0.000 μB per atom. The calculation puts the calculated formation energy at -0.2076 eV/atom. As for the crystal system: trigonal.


The following is a GGA-PBEsol calculation of Ca2Al after structural relaxation, from the Alexandria database.

Cell: 8.921 8.921 3.946 Å, 90.00 90.00 120.00°
Positions (direct):
Ca 0.000 0.269 0.000
Ca 0.000 0.606 0.500
Ca 0.269 0.000 0.000
Ca 0.394 0.394 0.500
Ca 0.606 0.000 0.500
Ca 0.731 0.731 0.000
Al 0.000 0.000 0.500
Al 0.333 0.667 0.000
Al 0.667 0.333 0.000

Values from the calculation:
The size of the total moment is 0.000 μB per atom. The calculation puts the calculated formation energy at -0.1240 eV/atom. As for the crystal system: hexagonal.


The following is a GGA-PBEsol calculation of Ca3Al after structural relaxation, from the Alexandria database.

Cell: 8.774 9.873 6.468 Å, 90.00 90.00 90.00°
Positions (direct):
Ca 0.032 0.250 0.104
Ca 0.171 0.061 0.633
Ca 0.171 0.439 0.633
Ca 0.329 0.561 0.133
Ca 0.329 0.939 0.133
Ca 0.468 0.750 0.604
Ca 0.532 0.250 0.396
Ca 0.671 0.061 0.867
Ca 0.671 0.439 0.867
Ca 0.829 0.561 0.367
Ca 0.829 0.939 0.367
Ca 0.968 0.750 0.896
Al 0.122 0.750 0.442
Al 0.378 0.250 0.942
Al 0.622 0.750 0.058
Al 0.878 0.250 0.558

Values from the calculation:
The size of the total moment is 0.000 μB per atom. The calculation puts the calculated formation energy at -0.0992 eV/atom. As for the crystal system: orthorhombic.


The following is a GGA-PBEsol calculation of Ca3Al after structural relaxation, from the Alexandria database.

Cell: 6.274 6.274 6.274 Å, 90.00 90.00 90.00°
Positions (direct):
Ca 0.000 0.250 0.500
Ca 0.000 0.750 0.500
Ca 0.250 0.500 0.000
Ca 0.500 0.000 0.250
Ca 0.500 0.000 0.750
Ca 0.750 0.500 0.000
Al 0.000 0.000 0.000
Al 0.500 0.500 0.500

Values from the calculation:
The size of the total moment is 0.078 μB per atom. The calculation puts the calculated formation energy at 0.0224 eV/atom. As for the crystal system: cubic.


The following is a GGA-PBEsol calculation of Ca8Al after structural relaxation, from the Alexandria database.

Cell: 8.232 8.232 8.232 Å, 95.88 95.88 142.68°
Positions (direct):
Ca 0.000 0.321 0.321
Ca 0.000 0.679 0.679
Ca 0.321 0.000 0.321
Ca 0.345 0.345 0.690
Ca 0.345 0.655 0.000
Ca 0.655 0.345 0.000
Ca 0.655 0.655 0.310
Ca 0.679 0.000 0.679
Al 0.000 0.000 0.000

Values from the calculation:
The size of the total moment is 0.000 μB per atom. The calculation puts the calculated formation energy at -0.0114 eV/atom. As for the crystal system: tetragonal.


The following is a GGA-PBEsol calculation of Ca2Al after structural relaxation, from the Alexandria database.

Cell: 6.387 6.387 8.507 Å, 110.25 110.25 33.79°
Positions (direct):
Ca 0.022 0.022 0.203
Ca 0.331 0.331 0.368
Ca 0.669 0.669 0.632
Ca 0.978 0.978 0.797
Al 0.313 0.313 0.954
Al 0.687 0.687 0.046

Values from the calculation:
The size of the total moment is 0.000 μB per atom. The calculation puts the calculated formation energy at -0.0971 eV/atom. As for the crystal system: monoclinic.


The following is a GGA-PBEsol calculation of Ca3Al after structural relaxation, from the Alexandria database.

Cell: 5.535 5.535 5.535 Å, 60.00 60.00 60.00°
Positions (direct):
Ca 0.000 0.000 0.000
Ca 0.250 0.250 0.250
Ca 0.750 0.750 0.750
Al 0.500 0.500 0.500

Values from the calculation:
The size of the total moment is 0.000 μB per atom. The calculation puts the calculated formation energy at -0.0560 eV/atom. As for the crystal system: cubic.


The following is a GGA-PBEsol calculation of CaAl after structural relaxation, from the Alexandria database.

Cell: 6.006 6.006 5.571 Å, 107.15 107.15 31.61°
Positions (direct):
Ca 0.097 0.097 0.318
Ca 0.903 0.903 0.682
Al 0.340 0.340 0.146
Al 0.660 0.660 0.854

Values from the calculation:
The size of the total moment is 0.000 μB per atom. The calculation puts the calculated formation energy at -0.1605 eV/atom. As for the crystal system: monoclinic.